No. 1
The following is a PBE calculation of a geometry-optimized AlFeSe2 structure, from Alexandria via LeMat-Bulk.

a b c (Å): 3.931 3.931 7.235
angles (deg): 90.00 90.00 127.43
Sites, in units of the cell vectors:
Al (0.000, 0.000, 0.000)
Fe (0.000, 0.000, 0.500)
Se (0.500, 0.500, 0.253)
Se (0.500, 0.500, 0.747)

Output
- space-group type = Cmmm, No. 65
- ΔE_f (raw) (eV per formula unit) = 0.2
- calculated volume (Å³/atom) = 22.19

=====

No. 2
The following is a PBE calculation of a geometry-optimized Ac5CuPb4 structure, from Alexandria via LeMat-Bulk.

a b c (Å): 8.313 8.313 8.313
angles (deg): 99.75 99.75 131.39
Sites, in units of the cell vectors:
Ac (0.000, 0.000, 0.000)
Ac (0.134, 0.525, 0.803)
Ac (0.331, 0.134, 0.609)
Ac (0.525, 0.722, 0.391)
Ac (0.722, 0.331, 0.197)
Cu (0.500, 0.500, 0.000)
Pb (0.020, 0.221, 0.392)
Pb (0.221, 0.829, 0.201)
Pb (0.628, 0.020, 0.799)
Pb (0.829, 0.628, 0.608)

Output
- space-group type = I4, No. 79
- calculated volume (Å³/atom) = 39.28
- formation enthalpy at 0 K (eV per atom) = -0.289

=====

No. 3
The following is a PBE calculation of a geometry-optimized Cu2ReP structure, from Alexandria via LeMat-Bulk.

a b c (Å): 4.764 4.764 2.652
angles (deg): 90.00 90.00 118.68
Sites, in units of the cell vectors:
Cu (0.000, 0.500, 0.000)
Cu (0.500, 0.000, 0.000)
Re (0.000, 0.000, 0.500)
P (0.500, 0.500, 0.500)

Output
- space-group type = Cmmm, No. 65
- calculated volume (Å³/atom) = 13.20
- formation enthalpy at 0 K (eV per atom) = 0.266

=====

No. 4
The following is a PBE calculation of a geometry-optimized MgZr2Fe structure, from Alexandria via LeMat-Bulk.

a b c (Å): 5.750 5.750 5.750
angles (deg): 147.52 131.11 59.93
Sites, in units of the cell vectors:
Mg (0.000, 0.000, 0.000)
Zr (0.293, 0.793, 0.500)
Zr (0.586, 0.586, 0.000)
Fe (0.783, 0.283, 0.500)

Output
- space-group type = Imm2, No. 44
- calculated volume (Å³/atom) = 19.06
- formation enthalpy at 0 K (eV per atom) = 0.053